No. 1
Computed, not measured: crystalline Ac5DyMg4 at its relaxed geometry at the PBE level of DFT.

Structure (POSCAR):
```
Ac5DyMg4
1.0
4.081 0.000 0.000
0.000 4.081 0.000
0.000 0.000 21.415
Ac Dy Mg
5 1 4
Cartesian
0.000 0.000 0.000
0.000 0.000 4.145
0.000 0.000 8.303
0.000 0.000 13.111
0.000 0.000 17.270
2.040 2.040 10.707
2.040 2.040 2.067
2.040 2.040 6.249
2.040 2.040 15.166
2.040 2.040 19.348
```

Results
Fermi-level density of states: 1.13 states/eV per atom
formation energy: -0.47 eV per formula unit
ρ: 6.49 g cm⁻³
total moment: 0.00 μB/cell
total DFT energy (no corrections): -3.199 eV/atom


No. 2
Computed, not measured: crystalline SiTc2Te at its relaxed geometry at the PBE level of DFT.

Structure (POSCAR):
```
SiTc2Te
1.0
-2.031 2.031 3.940
2.031 -2.031 3.940
2.031 2.031 -3.940
Si Tc Te
1 2 1
Cartesian
0.000 0.000 0.000
2.031 0.000 1.970
0.000 0.000 3.940
0.000 2.031 1.970
```

Results
Fermi-level density of states: 1.02 states/eV per atom
energy above the most stable polymorph in this dataset: 469 meV per atom
ρ: 8.98 g cm⁻³
total moment: 0.00 μB/cell
total DFT energy (no corrections): -6.860 eV/atom